# Ba8In2Pt, optimized geometry, DFT PBE
data_Ba8In2Pt
_cell_length_a 21.097
_cell_length_b 6.009
_cell_length_c 8.089
_cell_angle_alpha 90.00
_cell_angle_beta 107.38
_cell_angle_gamma 90.00
_symmetry_space_group_name_H-M 'C 1 2/m 1'
_symmetry_Int_Tables_number 12
loop_
_symmetry_equiv_pos_as_xyz
'x,y,z'
'-x,-y,-z'
'-x,y,-z'
'x,-y,z'
'x+1/2,y+1/2,z'
'-x+1/2,-y+1/2,-z'
'-x+1/2,y+1/2,-z'
'x+1/2,-y+1/2,z'
loop_
_atom_site_label
_atom_site_type_symbol
_atom_site_fract_x
_atom_site_fract_y
_atom_site_fract_z
Ba1 Ba 0.026 0.000 0.300
Ba2 Ba 0.093 0.500 0.911
Ba3 Ba 0.151 0.500 0.454
Ba4 Ba 0.212 0.000 0.794
In1 In 0.182 0.000 0.208
Pt1 Pt 0.000 0.500 0.500
# energy of formation from the pure elements = -303 meV/atom
# V = 44.48 Å³ per atom



# KV, optimized geometry, DFT PBE
data_KV
_cell_length_a 3.0223
_cell_length_b 3.0223
_cell_length_c 12.5145
_cell_angle_alpha 90.00
_cell_angle_beta 90.00
_cell_angle_gamma 120.00
_symmetry_space_group_name_H-M 'P 63 m c'
_symmetry_Int_Tables_number 186
_symmetry_space_group_name_Hall 'P 6c -2c'
loop_
_atom_site_label
_atom_site_type_symbol
_atom_site_fract_x
_atom_site_fract_y
_atom_site_fract_z
K1 K 0.3333 0.6667 0.0000
V1 V 0.3333 0.6667 0.2525
# energy of formation from the pure elements = 1489 meV/atom
# V = 24.75 Å³ per atom



# YLuSe, optimized geometry, DFT PBE
data_YLuSe
_cell_length_a 3.8210
_cell_length_b 3.8210
_cell_length_c 6.4360
_cell_angle_alpha 90.00
_cell_angle_beta 90.00
_cell_angle_gamma 120.00
_symmetry_space_group_name_H-M 'P 3 m 1'
_symmetry_Int_Tables_number 156
loop_
_symmetry_equiv_pos_as_xyz
'x,y,z'
'-y,x-y,z'
'-x+y,-x,z'
'-y,-x,z'
'-x+y,y,z'
'x,x-y,z'
loop_
_atom_site_label
_atom_site_type_symbol
_atom_site_fract_x
_atom_site_fract_y
_atom_site_fract_z
Y1 Y 0.0000 0.0000 0.0000
Lu1 Lu 0.3333 0.6667 0.5643
Se1 Se 0.6667 0.3333 0.2880
# V = 27.13 Å³ per atom
# VASP energy = -5.9175 eV per atom



# VSb, optimized geometry, DFT PBE
data_VSb
_cell_length_a 4.1433
_cell_length_b 4.1433
_cell_length_c 5.5811
_cell_angle_alpha 90.00
_cell_angle_beta 90.00
_cell_angle_gamma 120.00
_symmetry_space_group_name_H-M 'P 63/m m c'
_symmetry_Int_Tables_number 194
_symmetry_space_group_name_Hall '-P 6c 2c'
loop_
_atom_site_label
_atom_site_type_symbol
_atom_site_fract_x
_atom_site_fract_y
_atom_site_fract_z
V1 V 0.0000 0.0000 0.0000
Sb1 Sb 0.3333 0.6667 0.2500
# V = 20.74 Å³ per atom
# VASP energy = -6.6251 eV per atom